A plane-wave DFT calculation with PBEsol was carried out for a relaxed GaSiN2 crystal.

## Properties
Formation energy from raw total energies = -484 meV per atom
Fermi-level density of states = 0.527 states/eV per atom
E_tot = -112.3 eV/cell

Unit cell a=4.5004 b=4.5004 c=8.5334 alpha=90.00 beta=90.00 gamma=90.00
Closest atoms and distances in Å follow each position.
Space group I-42d (No. 122)
Symmetry-distinct sites (fractional):
Ga  0.0000  0.0000  0.0000 x4  4 N 2.08
Si  0.0000  0.0000  0.5000 x4  4 N 1.78
N  0.1921  0.2500  0.6250 x8  2 Si 1.78